Density functional theory data (PBE) for an optimized crystal structure of RbIn3Au.

Results
Energy above the lowest structure with this stoichiometry ... 0.00 kJ per mole of atoms
Energy ... -2.6870 eV/atom
Volume ... 29.7 Å³ per atom
Crystal system ... tetragonal
E_form ... -0.195 eV per atom

Structure (CIF):
```
data_RbIn3Au
_space_group_name_H-M_alt 'I 4 m m'
_space_group_IT_number 107
_space_group_name_Hall 'I 4 -2'
_cell_length_a 4.894
_cell_length_b 4.894
_cell_length_c 12.402
_cell_angle_alpha 90.00
_cell_angle_beta 90.00
_cell_angle_gamma 90.00
loop_
_atom_site_label
_atom_site_type_symbol
_atom_site_fract_x
_atom_site_fract_y
_atom_site_fract_z
Rb1 Rb 0.000 0.000 0.000
In1 In 0.000 0.000 0.607
In2 In 0.000 0.500 0.260
Au1 Au 0.000 0.000 0.380
```

***

Density functional theory data (PBE) for an optimized crystal structure of CoSb2.

Results
Energy ... -5.1211 eV/atom
Volume ... 23.1 Å³ per atom
Crystal system ... orthorhombic
E_form (uncorrected) ... -0.004 eV per atom

Structure (CIF):
```
data_CoSb2
_space_group_name_H-M_alt 'C m c m'
_space_group_IT_number 63
_space_group_name_Hall '-C 2c 2'
_cell_length_a 3.793
_cell_length_b 15.044
_cell_length_c 4.849
_cell_angle_alpha 90.00
_cell_angle_beta 90.00
_cell_angle_gamma 90.00
loop_
_atom_site_label
_atom_site_type_symbol
_atom_site_fract_x
_atom_site_fract_y
_atom_site_fract_z
Co1 Co 0.000 0.167 0.250
Sb1 Sb 0.000 0.211 0.750
Sb2 Sb 0.000 0.439 0.750
```

***

Density functional theory data (PBE) for an optimized crystal structure of Gd3AgC.

Results
Energy ... -11.0703 eV/atom
Volume ... 24.4 Å³ per atom
Crystal system ... cubic
E_form ... -0.207 eV per atom

Structure (CIF):
```
data_Gd3AgC
_space_group_name_H-M_alt 'P m -3 m'
_space_group_IT_number 221
_space_group_name_Hall '-P 4 2 3'
_cell_length_a 4.956
_cell_length_b 4.956
_cell_length_c 4.956
_cell_angle_alpha 90.00
_cell_angle_beta 90.00
_cell_angle_gamma 90.00
loop_
_atom_site_label
_atom_site_type_symbol
_atom_site_fract_x
_atom_site_fract_y
_atom_site_fract_z
Gd1 Gd 0.000 0.000 0.500
Ag1 Ag 0.500 0.500 0.500
C1 C 0.000 0.000 0.000
```

***

Density functional theory data (PBE) for an optimized crystal structure of TiHgBi.

Results
Energy above the lowest structure with this stoichiometry ... 18.78 kJ per mole of atoms
Energy ... -3.7894 eV/atom
Volume ... 24.3 Å³ per atom
Crystal system ... trigonal
E_form ... 0.237 eV per atom

Structure (CIF):
```
data_TiHgBi
_space_group_name_H-M_alt 'P 3 m 1'
_space_group_IT_number 156
_cell_length_a 4.8131
_cell_length_b 4.8131
_cell_length_c 3.6285
_cell_angle_alpha 90.00
_cell_angle_beta 90.00
_cell_angle_gamma 120.00
loop_
_space_group_symop_operation_xyz
'x,y,z'
'-y,x-y,z'
'-x+y,-x,z'
'-y,-x,z'
'-x+y,y,z'
'x,x-y,z'
loop_
_atom_site_label
_atom_site_type_symbol
_atom_site_fract_x
_atom_site_fract_y
_atom_site_fract_z
Ti1 Ti 0.0000 0.0000 0.0000
Hg1 Hg 0.6667 0.3333 0.0662
Bi1 Bi 0.3333 0.6667 0.5340
```

***

Density functional theory data (PBE) for an optimized crystal structure of TiV2PtBr.

Results
Energy ... -5.5681 eV/atom
Volume ... 19.4 Å³ per atom
Crystal system ... tetragonal
E_form (uncorrected) ... 1.201 eV per atom

Structure (CIF):
```
data_TiV2PtBr
_space_group_name_H-M_alt 'P 4/m m m'
_space_group_IT_number 123
_space_group_name_Hall '-P 4 2'
_cell_length_a 4.570
_cell_length_b 4.570
_cell_length_c 4.641
_cell_angle_alpha 90.00
_cell_angle_beta 90.00
_cell_angle_gamma 90.00
loop_
_atom_site_label
_atom_site_type_symbol
_atom_site_fract_x
_atom_site_fract_y
_atom_site_fract_z
Ti1 Ti 0.000 0.000 0.000
V1 V 0.000 0.500 0.000
Pt1 Pt 0.500 0.500 0.500
Br1 Br 0.000 0.000 0.500
```

***

Density functional theory data (PBE) for an optimized crystal structure of NaUSb2.

Results
Energy above the lowest structure with this stoichiometry ... 16.82 kJ per mole of atoms
Energy ... -5.2671 eV/atom
Volume ... 31.1 Å³ per atom
Crystal system ... trigonal
E_form (uncorrected) ... -0.054 eV per atom

Structure (CIF):
```
data_NaUSb2
_space_group_name_H-M_alt 'R 3 m'
_space_group_IT_number 160
_space_group_name_Hall 'R 3 -2"'
_cell_length_a 4.2161
_cell_length_b 4.2161
_cell_length_c 24.2508
_cell_angle_alpha 90.00
_cell_angle_beta 90.00
_cell_angle_gamma 120.00
loop_
_atom_site_label
_atom_site_type_symbol
_atom_site_fract_x
_atom_site_fract_y
_atom_site_fract_z
Na1 Na 0.0000 0.0000 0.0000
U1 U 0.0000 0.0000 0.8312
Sb1 Sb 0.0000 0.0000 0.4211
Sb2 Sb 0.0000 0.0000 0.5751
```

***

Density functional theory data (PBE) for an optimized crystal structure of Sc2PBr.

Results
Energy ... -5.8804 eV/atom
Volume ... 20.6 Å³ per atom
Crystal system ... orthorhombic
E_form (uncorrected) ... -0.944 eV per atom

Structure (CIF):
```
data_Sc2PBr
_space_group_name_H-M_alt 'C m m m'
_space_group_IT_number 65
_space_group_name_Hall '-C 2 2'
_cell_length_a 4.016
_cell_length_b 5.463
_cell_length_c 7.507
_cell_angle_alpha 90.00
_cell_angle_beta 90.00
_cell_angle_gamma 90.00
loop_
_atom_site_label
_atom_site_type_symbol
_atom_site_fract_x
_atom_site_fract_y
_atom_site_fract_z
Sc1 Sc 0.000 0.000 0.210
P1 P 0.000 0.500 0.000
Br1 Br 0.000 0.500 0.500
```

***

Density functional theory data (PBE) for an optimized crystal structure of SeBr.

Results
Energy ... -2.2048 eV/atom
Volume ... 31.0 Å³ per atom
Crystal system ... tetragonal
E_form (uncorrected) ... 0.374 eV per atom

Structure (CIF):
```
data_SeBr
_space_group_name_H-M_alt 'P 4/n m m'
_space_group_IT_number 129
_cell_length_a 3.351
_cell_length_b 3.351
_cell_length_c 11.054
_cell_angle_alpha 90.00
_cell_angle_beta 90.00
_cell_angle_gamma 90.00
loop_
_space_group_symop_operation_xyz
'x,y,z'
'-x,-y,-z'
'-y+1/2,x,z'
'y+1/2,-x,-z'
'-x+1/2,-y+1/2,z'
'x+1/2,y+1/2,-z'
'y,-x+1/2,z'
'-y,x+1/2,-z'
'x+1/2,-y,-z'
'-x+1/2,y,z'
'-y,-x,-z'
'y,x,z'
'-x,y+1/2,-z'
'x,-y+1/2,z'
'y+1/2,x+1/2,-z'
'-y+1/2,-x+1/2,z'
loop_
_atom_site_label
_atom_site_type_symbol
_atom_site_fract_x
_atom_site_fract_y
_atom_site_fract_z
Se1 Se 0.250 0.250 0.047
Br1 Br 0.250 0.250 0.684
```

***

Density functional theory data (PBE) for an optimized crystal structure of Pm6Bi2Sb3Se.

Results
Energy ... -5.5574 eV/atom
Volume ... 31.8 Å³ per atom
Crystal system ... monoclinic
E_form (uncorrected) ... -1.214 eV per atom

Structure (CIF):
```
data_Pm6Bi2Sb3Se
_space_group_name_H-M_alt 'C 1 2/m 1'
_space_group_IT_number 12
_cell_length_a 19.486
_cell_length_b 4.481
_cell_length_c 8.965
_cell_angle_alpha 90.00
_cell_angle_beta 103.16
_cell_angle_gamma 90.00
loop_
_space_group_symop_operation_xyz
'x,y,z'
'-x,-y,-z'
'-x,y,-z'
'x,-y,z'
'x+1/2,y+1/2,z'
'-x+1/2,-y+1/2,-z'
'-x+1/2,y+1/2,-z'
'x+1/2,-y+1/2,z'
loop_
_atom_site_label
_atom_site_type_symbol
_atom_site_fract_x
_atom_site_fract_y
_atom_site_fract_z
Pm1 Pm 0.002 0.000 0.255
Pm2 Pm 0.163 0.500 0.577
Pm3 Pm 0.165 0.500 0.087
Bi1 Bi 0.166 0.000 0.832
Sb1 Sb 0.000 0.500 0.000
Sb2 Sb 0.168 0.000 0.335
Se1 Se 0.000 0.500 0.500
```

***

Density functional theory data (PBE) for an optimized crystal structure of AcTh2Pt.

Results
Energy above the lowest structure with this stoichiometry ... 2.02 kJ per mole of atoms
Energy ... -6.6729 eV/atom
Volume ... 33.6 Å³ per atom
Crystal system ... trigonal
E_form ... -0.426 eV per atom

Structure (CIF):
```
data_AcTh2Pt
_space_group_name_H-M_alt 'R 3 m'
_space_group_IT_number 160
_space_group_name_Hall 'R 3 -2"'
_cell_length_a 4.0080
_cell_length_b 4.0080
_cell_length_c 29.0032
_cell_angle_alpha 90.00
_cell_angle_beta 90.00
_cell_angle_gamma 120.00
loop_
_atom_site_label
_atom_site_type_symbol
_atom_site_fract_x
_atom_site_fract_y
_atom_site_fract_z
Ac1 Ac 0.0000 0.0000 0.0000
Th1 Th 0.0000 0.0000 0.2274
Th2 Th 0.0000 0.0000 0.4379
Pt1 Pt 0.0000 0.0000 0.8335
```

***

Density functional theory data (PBE) for an optimized crystal structure of LiTm2Cr.

Results
Energy above the lowest structure with this stoichiometry ... 2.71 kJ per mole of atoms
Energy ... -4.9343 eV/atom
Volume ... 23.1 Å³ per atom
Crystal system ... tetragonal
E_form ... 0.186 eV per atom

Structure (CIF):
```
data_LiTm2Cr
_space_group_name_H-M_alt 'P 4/m m m'
_space_group_IT_number 123
_space_group_name_Hall '-P 4 2'
_cell_length_a 3.422
_cell_length_b 3.422
_cell_length_c 7.893
_cell_angle_alpha 90.00
_cell_angle_beta 90.00
_cell_angle_gamma 90.00
loop_
_atom_site_label
_atom_site_type_symbol
_atom_site_fract_x
_atom_site_fract_y
_atom_site_fract_z
Li1 Li 0.000 0.000 0.000
Tm1 Tm 0.500 0.500 0.286
Cr1 Cr 0.000 0.000 0.500
```

***

Density functional theory data (PBE) for an optimized crystal structure of Sm2ZnAu3.

Results
Energy above the lowest structure with this stoichiometry ... 0.00 kJ per mole of atoms
Energy ... -4.1506 eV/atom
Volume ... 22.4 Å³ per atom
Crystal system ... orthorhombic
E_form ... -0.727 eV per atom

Structure (CIF):
```
data_Sm2ZnAu3
_space_group_name_H-M_alt 'P m m 2'
_space_group_IT_number 25
_cell_length_a 3.546
_cell_length_b 4.646
_cell_length_c 8.166
_cell_angle_alpha 90.00
_cell_angle_beta 90.00
_cell_angle_gamma 90.00
loop_
_space_group_symop_operation_xyz
'x,y,z'
'-x,-y,z'
'-x,y,z'
'x,-y,z'
loop_
_atom_site_label
_atom_site_type_symbol
_atom_site_fract_x
_atom_site_fract_y
_atom_site_fract_z
Sm1 Sm 0.000 0.000 0.000
Sm2 Sm 0.000 0.500 0.482
Zn1 Zn 0.500 0.500 0.819
Au1 Au 0.500 0.000 0.333
Au2 Au 0.500 0.000 0.675
Au3 Au 0.500 0.500 0.139
```